Compound: KVBi2
Source: Alexandria
Functional: PBE-GGA
Structure: optimized geometry

Unit cell a=3.5172 b=3.5172 c=9.0943 alpha=90.00 beta=90.00 gamma=90.00
Last column: nearest neighbours and their distance in Å.
Space group P4/mmm (No. 123)
Inequivalent atoms, fractional coordinates:
K 0.0000 0.0000 0.0000  4 K 3.52, 8 Bi 3.75
V 0.0000 0.0000 0.5000  8 Bi 3.03
Bi 0.5000 0.5000 0.3093  4 V 3.03

Output
* ΔE to the lowest computed polymorph: 0 meV/atom
* magnetization: 1.94 Bohr magnetons per cell
* Fermi-level density of states: 1.8 states/eV/cell
* energy relative to the elements: 36 meV per atom